# SrTaMnO6

SrTaMnO6 after structural relaxation (PBE with a Hubbard U, Alexandria via LeMat-Bulk).

abc: 4.9582 4.9582 9.6022
angles: 90.00 90.00 90.00
Last column: nearest neighbours and their distance in Å.
Element x y z (fractional)
Sr1 0.5000 0.5000 0.5057  6 O 2.35-2.57
Sr2 0.0000 0.0000 0.0057  6 O 2.35-2.57
Ta1 0.5000 0.5000 0.1660  6 O 1.99-2.02
Ta2 0.0000 0.0000 0.6660  6 O 1.99-2.02
Mn1 0.5000 0.5000 0.8367  6 O 1.91-2.00
Mn2 0.0000 0.0000 0.3367  6 O 1.91-2.00
O1 0.1650 0.8350 0.4950  1 Mn 1.91, 1 Ta 2.01
O2 0.8350 0.1650 0.4950  1 Mn 1.91, 1 Ta 2.01
O3 0.3350 0.3350 0.9950  1 Mn 1.91, 1 Ta 2.01
O4 0.6650 0.6650 0.9950  1 Mn 1.91, 1 Ta 2.01
O5 0.2210 0.7790 0.2048  1 Ta 1.99, 1 Mn 2.00
O6 0.7790 0.2210 0.2048  1 Ta 1.99, 1 Mn 2.00
O7 0.2790 0.2790 0.7048  1 Ta 1.99, 1 Mn 2.00
O8 0.7210 0.7210 0.7048  1 Ta 1.99, 1 Mn 2.00
O9 0.7735 0.2265 0.7959  1 Mn 1.96, 1 Ta 2.02
O10 0.2265 0.7735 0.7959  1 Mn 1.96, 1 Ta 2.02
O11 0.7265 0.7265 0.2959  1 Mn 1.96, 1 Ta 2.02
O12 0.2735 0.2735 0.2959  1 Mn 1.96, 1 Ta 2.02

Properties
E (eV per atom): -7.702
Crystal system: tetragonal
SG: P4_2nm, No. 102